VASP calculation (meta-GGA SCAN) on a crystal of ScFeSe2 relaxed with PBEsol.

ΔE_f (raw)   -959 meV/atom
Spin magnetization   3.00 μB/f.u.
D(E_F)   1.43 states/eV per cell

a b c (Å): 3.437 3.493 11.819
angles (deg): 90.00 90.00 90.00
Space group Imm2 (No. 44)
Inequivalent atoms, fractional coordinates:
Sc1 0.000 0.000 0.000 [2 per cell]
Fe1 0.000 0.500 0.256 [2 per cell]
Se1 0.000 0.000 0.593 [2 per cell]
Se2 0.000 0.500 0.831 [2 per cell]

=====

VASP calculation (meta-GGA SCAN) on a crystal of ScFeSe2 relaxed with PBEsol.

ΔE_f (raw)   -1012 meV/atom
Spin magnetization   3.04 μB/f.u.
D(E_F)   4.94 states/eV per cell

a b c (Å): 3.8016 3.8016 17.4418
angles (deg): 90.00 90.00 120.00
Space group R-3m (No. 166, hexagonal axes)
Inequivalent atoms, fractional coordinates:
Sc1 0.0000 0.0000 0.0000 [3 per cell]
Fe1 0.0000 0.0000 0.5000 [3 per cell]
Se1 0.0000 0.0000 0.2439 [6 per cell]

=====

VASP calculation (meta-GGA SCAN) on a crystal of Sc2FeSe relaxed with PBEsol.

ΔE_f (raw)   83 meV/atom
Spin magnetization   0.75 μB/f.u.
D(E_F)   12.19 states/eV per cell

a b c (Å): 6.327 6.327 6.327
angles (deg): 90.00 90.00 90.00
Space group F-43m (No. 216)
Inequivalent atoms, fractional coordinates:
Sc1 0.000 0.000 0.000 [4 per cell]
Sc2 0.250 0.250 0.250 [4 per cell]
Fe1 0.250 0.250 0.750 [4 per cell]
Se1 0.000 0.000 0.500 [4 per cell]

=====

VASP calculation (meta-GGA SCAN) on a crystal of ScFe2Se relaxed with PBEsol.

ΔE_f (raw)   -136 meV/atom
Spin magnetization   4.92 μB/f.u.
D(E_F)   1.60 states/eV per cell

a b c (Å): 3.331 3.331 5.318
angles (deg): 90.00 90.00 90.00
Space group P4/mmm (No. 123)
Inequivalent atoms, fractional coordinates:
Sc1 0.000 0.000 0.000 [1 per cell]
Fe1 0.500 0.500 0.271 [2 per cell]
Se1 0.000 0.000 0.500 [1 per cell]

=====

VASP calculation (meta-GGA SCAN) on a crystal of ScFeSe2 relaxed with PBEsol.

ΔE_f (raw)   -751 meV/atom
Spin magnetization   2.97 μB/f.u.
D(E_F)   1.97 states/eV per cell

a b c (Å): 3.403 3.324 6.582
angles (deg): 90.00 90.64 90.00
Space group P2/m (No. 10)
Inequivalent atoms, fractional coordinates:
Sc1 0.000 0.000 0.000 [1 per cell]
Fe1 0.500 0.000 0.500 [1 per cell]
Se1 0.497 0.500 0.768 [2 per cell]

=====

VASP calculation (meta-GGA SCAN) on a crystal of ScFe2Se relaxed with PBEsol.

ΔE_f (raw)   -353 meV/atom
Spin magnetization   4.98 μB/f.u.
D(E_F)   1.31 states/eV per cell

a b c (Å): 3.685 3.685 4.269
angles (deg): 90.00 90.00 90.00
Space group P4/mmm (No. 123)
Inequivalent atoms, fractional coordinates:
Sc1 0.000 0.000 0.000 [1 per cell]
Fe1 0.000 0.500 0.500 [2 per cell]
Se1 0.500 0.500 0.000 [1 per cell]

=====

VASP calculation (meta-GGA SCAN) on a crystal of ScFeSe2 relaxed with PBEsol.

ΔE_f (raw)   -747 meV/atom
Spin magnetization   2.89 μB/f.u.
D(E_F)   1.12 states/eV per cell

a b c (Å): 4.493 4.493 3.280
angles (deg): 90.00 90.00 90.00
Space group P4/mmm (No. 123)
Inequivalent atoms, fractional coordinates:
Sc1 0.000 0.000 0.000 [1 per cell]
Fe1 0.500 0.500 0.000 [1 per cell]
Se1 0.000 0.500 0.500 [2 per cell]

=====

VASP calculation (meta-GGA SCAN) on a crystal of ScFe3Se relaxed with PBEsol.

ΔE_f (raw)   334 meV/atom
Spin magnetization   5.76 μB/f.u.
D(E_F)   3.93 states/eV per cell

a b c (Å): 4.313 4.313 4.313
angles (deg): 90.00 90.00 90.00
Space group Pm-3m (No. 221)
Inequivalent atoms, fractional coordinates:
Sc1 0.000 0.000 0.000 [1 per cell]
Fe1 0.000 0.500 0.500 [3 per cell]
Se1 0.500 0.500 0.500 [1 per cell]

=====

Among the records above, which one has the lowest spin magnetization? Sc2FeSe

=====

Number 1 is which compound? ScFeSe2

=====

Among the records above, which one has the lowest ΔE_f (raw)? number 2

=====

Which formula does entry 6 have? ScFe2Se